No. 1
Below is CdCu2Os2 after structural relaxation, with properties calculated at the GGA-PBE level.

formation energy	4.35	eV per formula unit
volume	16.05	Å³ per atom
ΔE to the lowest computed polymorph	1.205	eV per formula unit

```
data_CdCu2Os2
_cell_length_a 3.6825
_cell_length_b 3.6825
_cell_length_c 11.8395
_cell_angle_alpha 90.00
_cell_angle_beta 90.00
_cell_angle_gamma 90.00
_symmetry_space_group_name_H-M 'I 4/m m m'
_symmetry_Int_Tables_number 139
_symmetry_space_group_name_Hall '-I 4 2'
loop_
_atom_site_label
_atom_site_fract_x
_atom_site_fract_y
_atom_site_fract_z
Cd1 0.0000 0.0000 0.0000
Cu1 0.0000 0.5000 0.2500
Os1 0.0000 0.0000 0.3984
```

No. 2
Below is PrUS2 after structural relaxation, with properties calculated at the GGA-PBE level.

volume	22.48	Å³ per atom
ΔE to the lowest computed polymorph	0.000	eV per formula unit
E_form (uncorrected)	-1.66	eV per atom

```
data_PrUS2
_cell_length_a 3.9584
_cell_length_b 3.9584
_cell_length_c 19.8786
_cell_angle_alpha 90.00
_cell_angle_beta 90.00
_cell_angle_gamma 120.00
_symmetry_space_group_name_H-M 'R -3 m'
_symmetry_Int_Tables_number 166
_symmetry_space_group_name_Hall '-R 3 2"'
loop_
_atom_site_label
_atom_site_fract_x
_atom_site_fract_y
_atom_site_fract_z
Pr1 0.0000 0.0000 0.0000
U1 0.0000 0.0000 0.5000
S1 0.0000 0.0000 0.2445
```

No. 3
Below is Dy2HoCd3 after structural relaxation, with properties calculated at the GGA-PBE level.

formation energy	-1.91	eV per formula unit
volume	26.14	Å³ per atom

```
data_Dy2HoCd3
_cell_length_a 3.7410
_cell_length_b 3.7410
_cell_length_c 11.2045
_cell_angle_alpha 90.00
_cell_angle_beta 90.00
_cell_angle_gamma 90.00
_symmetry_space_group_name_H-M 'P 4/m m m'
_symmetry_Int_Tables_number 123
_symmetry_space_group_name_Hall '-P 4 2'
loop_
_atom_site_label
_atom_site_fract_x
_atom_site_fract_y
_atom_site_fract_z
Dy1 0.0000 0.0000 0.1670
Ho1 0.0000 0.0000 0.5000
Cd1 0.5000 0.5000 0.0000
Cd2 0.5000 0.5000 0.3345
```

No. 4
Below is K2AgBr after structural relaxation, with properties calculated at the GGA-PBE level.

volume	39.87	Å³ per atom
ΔE to the lowest computed polymorph	0.086	eV per formula unit
E_form (uncorrected)	-0.77	eV per atom

```
data_K2AgBr
_cell_length_a 4.6625
_cell_length_b 4.6625
_cell_length_c 25.4161
_cell_angle_alpha 90.00
_cell_angle_beta 90.00
_cell_angle_gamma 120.00
_symmetry_space_group_name_H-M 'R 3 m'
_symmetry_Int_Tables_number 160
_symmetry_space_group_name_Hall 'R 3 -2"'
loop_
_atom_site_label
_atom_site_fract_x
_atom_site_fract_y
_atom_site_fract_z
K1 0.0000 0.0000 0.0000
K2 0.0000 0.0000 0.1596
Ag1 0.0000 0.0000 0.5794
Br1 0.0000 0.0000 0.7468
```

No. 5
Below is GaTcSe2N after structural relaxation, with properties calculated at the GGA-PBE level.

volume	18.89	Å³ per atom
ΔE to the lowest computed polymorph	4.336	eV per formula unit
E_form (uncorrected)	1.05	eV per atom

```
data_GaTcSe2N
_cell_length_a 5.1303
_cell_length_b 5.1303
_cell_length_c 3.5887
_cell_angle_alpha 90.00
_cell_angle_beta 90.00
_cell_angle_gamma 90.00
_symmetry_space_group_name_H-M 'P 4/m m m'
_symmetry_Int_Tables_number 123
_symmetry_space_group_name_Hall '-P 4 2'
loop_
_atom_site_label
_atom_site_fract_x
_atom_site_fract_y
_atom_site_fract_z
Ga1 0.0000 0.0000 0.0000
Tc1 0.5000 0.5000 0.5000
Se1 0.0000 0.5000 0.0000
N1 0.0000 0.0000 0.5000
```

No. 6
Below is TiNb2Al2 after structural relaxation, with properties calculated at the GGA-PBE level.

formation energy	0.50	eV per formula unit
volume	18.94	Å³ per atom
ΔE to the lowest computed polymorph	1.959	eV per formula unit

```
data_TiNb2Al2
_cell_length_a 8.8933
_cell_length_b 10.6564
_cell_length_c 4.6986
_cell_angle_alpha 90.00
_cell_angle_beta 121.71
_cell_angle_gamma 90.00
_symmetry_space_group_name_H-M 'C 1 2/c 1'
_symmetry_Int_Tables_number 15
_symmetry_space_group_name_Hall '-C 2yc'
loop_
_atom_site_label
_atom_site_fract_x
_atom_site_fract_y
_atom_site_fract_z
Ti1 0.0000 0.0570 0.2500
Nb1 0.1829 0.4277 0.9342
Al1 0.0000 0.1995 0.7500
Al2 0.0000 0.3349 0.2500
```

No. 7
Below is ZnMoPt2 after structural relaxation, with properties calculated at the GGA-PBE level.

formation energy	-0.90	eV per formula unit
volume	15.40	Å³ per atom

```
data_ZnMoPt2
_cell_length_a 2.7904
_cell_length_b 3.9559
_cell_length_c 5.5798
_cell_angle_alpha 90.00
_cell_angle_beta 90.00
_cell_angle_gamma 90.00
_symmetry_space_group_name_H-M 'P m m 2'
_symmetry_Int_Tables_number 25
_symmetry_space_group_name_Hall 'P 2 -2'
loop_
_atom_site_label
_atom_site_fract_x
_atom_site_fract_y
_atom_site_fract_z
Zn1 0.0000 0.0000 0.0000
Mo1 0.5000 0.5000 0.2884
Pt1 0.0000 0.0000 0.4951
Pt2 0.5000 0.5000 0.8006
```

The lowest volume belongs to which entry?
ZnMoPt2